# 1
DFT (PBE) results for NiSn2S6 after structural relaxation.

Results
spin magnetization: 0.0 μB/cell
energy: -78.4 eV per cell

a = 5.938 Å, b = 5.938 Å, c = 11.022 Å
α = 90.00°, β = 90.00°, γ = 90.00°
Sites, in units of the cell vectors:
Ni1 0.000 0.000 0.500
Ni2 0.500 0.500 0.000
S1 0.709 0.709 0.500
S2 0.291 0.291 0.500
S3 0.319 0.319 0.152
S4 0.819 0.181 0.652
S5 0.791 0.209 0.000
S6 0.319 0.319 0.848
S7 0.681 0.681 0.152
S8 0.181 0.819 0.348
S9 0.209 0.791 0.000
S10 0.181 0.819 0.652
S11 0.681 0.681 0.848
S12 0.819 0.181 0.348
Sn1 0.500 0.500 0.334
Sn2 0.000 0.000 0.834
Sn3 0.500 0.500 0.666
Sn4 0.000 0.000 0.166


# 2
DFT (PBE) results for Al2SbSe6 after structural relaxation.

Results
spin magnetization: 0.0 μB/cell
energy: -72.1 eV per cell

a = 7.094 Å, b = 8.529 Å, c = 8.529 Å
α = 88.20°, β = 77.47°, γ = 77.47°
Sites, in units of the cell vectors:
Se1 0.800 0.949 0.395
Se2 0.700 0.605 0.051
Se3 0.586 0.351 0.474
Se4 0.086 0.474 0.351
Se5 0.158 0.788 0.976
Se6 0.414 0.649 0.526
Se7 0.342 0.024 0.212
Se8 0.300 0.395 0.949
Se9 0.200 0.051 0.605
Se10 0.658 0.976 0.788
Se11 0.914 0.526 0.649
Se12 0.842 0.212 0.024
Al1 0.827 0.404 0.222
Al2 0.673 0.778 0.596
Al3 0.173 0.596 0.778
Al4 0.327 0.222 0.404
Sb1 0.250 0.096 0.904
Sb2 0.750 0.904 0.096


Question: energy of number 1 (NiSn2S6)?
Answer: -78.4 eV per cell